# 1
Below is a relaxed structure of Al2InH, with properties calculated at the PBE-GGA level.

Cell lengths 4.9960, 4.9960, 6.7925 Å; angles 68.42, 68.42, 90.00 degrees
Closest atoms and distances in Å follow each position.
Positions (direct):
H  0.5000  0.5000  0.0000  4 Al 1.95
H  0.2500  0.7500  0.5000  4 Al 1.95
Al  0.4482  0.1250  0.2500  2 H 1.95
Al  0.3018  0.6250  0.2500  2 H 1.95
Al  0.3750  0.5518  0.7500  2 H 1.95
Al  0.8750  0.6982  0.7500  2 H 1.95
In  0.0000  0.0000  0.0000  4 Al 2.87
In  0.7500  0.2500  0.5000  4 Al 2.87

Summary:
E above lowest polymorph (kJ/mol of atoms): 0.0

---

# 2
Below is a relaxed structure of AlCdBi2, with properties calculated at the PBE-GGA level.

Cell lengths 4.4568, 4.4568, 7.2086 Å; angles 71.99, 71.99, 60.00 degrees
Closest atoms and distances in Å follow each position.
Positions (direct):
Al  0.6650  0.6650  0.0049  6 Bi 2.96-3.01
Cd  0.5003  0.5003  0.4990  6 Bi 3.17, 1 Al 3.33
Bi  0.0757  0.0757  0.7728  3 Al 3.01, 3 Cd 3.17
Bi  0.2589  0.2589  0.2232  3 Al 2.96, 3 Cd 3.17

Summary:
E above lowest polymorph (kJ/mol of atoms): 0.0
Energy relative to the elements (eV/atom): 0.1539

---

# 3
Below is a relaxed structure of SrLiP2, with properties calculated at the PBE-GGA level.

Cell lengths 4.6743, 4.6743, 8.8394 Å; angles 74.67, 74.67, 90.00 degrees
Closest atoms and distances in Å follow each position.
Positions (direct):
Sr  0.0000  0.0000  0.0000  4 P 3.01, 4 Li 3.31
Sr  0.7500  0.2500  0.5000  4 P 3.01, 4 Li 3.31
Li  0.5000  0.5000  0.0000  4 P 2.40
Li  0.2500  0.7500  0.5000  4 P 2.40
P  0.2757  0.1250  0.2500  2 Li 2.40, 2 P 2.51
P  0.4743  0.6250  0.2500  2 Li 2.40, 2 P 2.51
P  0.3750  0.7243  0.7500  2 Li 2.40, 2 P 2.51
P  0.8750  0.5257  0.7500  2 Li 2.40, 2 P 2.51

Summary:
E above lowest polymorph (kJ/mol of atoms): 12.1
Energy relative to the elements (eV/atom): -0.6003

---

# 4
Below is a relaxed structure of Sm5YIn2, with properties calculated at the PBE-GGA level.

Cell lengths 3.6413, 8.4971, 8.4971 Å; angles 79.72, 77.63, 77.63 degrees
Closest atoms and distances in Å follow each position.
Positions (direct):
Sm  0.0000  0.5000  0.5000  2 In 3.42, 10 Sm 3.48-3.64
Sm  0.6379  0.5829  0.1414  3 In 3.24-3.46, 5 Sm 3.41-3.48
Sm  0.3621  0.4171  0.8586  3 In 3.24-3.46, 5 Sm 3.41-3.48
Sm  0.3621  0.8586  0.4171  3 In 3.24-3.46, 5 Sm 3.41-3.48
Sm  0.6379  0.1414  0.5829  3 In 3.24-3.46, 5 Sm 3.41-3.48
Y  0.0000  0.0000  0.0000  4 In 3.37, 2 Y 3.64
In  0.7268  0.7732  0.7732  7 Sm 3.24-3.46, 2 Y 3.37
In  0.2732  0.2268  0.2268  7 Sm 3.24-3.46, 2 Y 3.37

Summary:
E above lowest polymorph (kJ/mol of atoms): 10.4
Energy relative to the elements (eV/atom): -0.1669

---

# 5
Below is a relaxed structure of LaZrTl2, with properties calculated at the PBE-GGA level.

Cell lengths 3.5599, 3.5599, 9.0046 Å; angles 90.00, 90.00, 90.00 degrees
Closest atoms and distances in Å follow each position.
Positions (direct):
La  0.5000  0.5000  0.7364  4 Zr 3.44, 4 La 3.56, 4 Tl 3.60
Tl  0.0000  0.0000  0.0218  8 Tl 3.34-3.56, 4 La 3.60
Tl  0.5000  0.5000  0.2659  4 Zr 3.15, 4 Tl 3.34
Zr  0.0000  0.0000  0.4760  4 Tl 3.15, 4 La 3.44

Summary:
Energy relative to the elements (eV/atom): 0.0307

---

# 6
Below is a relaxed structure of Sr2LaCeBi4, with properties calculated at the PBE-GGA level.

Cell lengths 4.7468, 8.2332, 8.1968 Å; angles 109.60, 90.00, 90.00 degrees
Closest atoms and distances in Å follow each position.
Positions (direct):
Sr  0.5000  0.0000  0.5000  6 Bi 3.41
Sr  0.0000  0.5000  0.5000  6 Bi 3.48-3.49
La  0.5000  0.5000  0.0000  6 Bi 3.30-3.31
Ce  0.0000  0.0000  0.0000  6 Bi 3.22-3.23
Bi  0.5000  0.2347  0.2267  2 Ce 3.23, 1 La 3.31, 3 Sr 3.41-3.48
Bi  0.5000  0.7653  0.7733  2 Ce 3.23, 1 La 3.31, 3 Sr 3.41-3.48
Bi  0.0000  0.2483  0.7682  1 Ce 3.22, 2 La 3.30, 3 Sr 3.41-3.49
Bi  0.0000  0.7517  0.2318  1 Ce 3.22, 2 La 3.30, 3 Sr 3.41-3.49

Summary:
Energy relative to the elements (eV/atom): -0.8284

---

Number 1: total DFT energy (no corrections) -3.092 eV per atom. Number 2: total DFT energy (no corrections) -2.951 eV per atom. Number 3: total DFT energy (no corrections) -4.204 eV per atom. Number 4: total DFT energy (no corrections) -4.609 eV per atom. Number 5: total DFT energy (no corrections) -4.521 eV per atom. Number 6: total DFT energy (no corrections) -4.547 eV per atom.